Run P
A relaxed V3BiB crystal. Source: the Alexandria database, functional PBE-GGA.

a = 5.190 Å, b = 5.190 Å, c = 5.190 Å
α = 90.00°, β = 90.00°, γ = 90.00°
Each line ends with the local moment (μB).
Fractional positions:
B 0.500 0.500 0.500  -0.06
Bi 0.000 0.000 0.000  -0.08
V 0.000 0.500 0.000  2.72
V 0.000 0.000 0.500  2.72
V 0.500 0.000 0.000  2.72

density of states at the Fermi level	11.85	states/eV per cell
calculated volume	140	Å³/cell

Run Q
A relaxed V3BiB crystal. Source: the Alexandria database, functional PBE-GGA.

a = 4.174 Å, b = 4.174 Å, c = 4.174 Å
α = 90.00°, β = 90.00°, γ = 90.00°
Fractional positions:
B 0.000 0.000 0.000
Bi 0.500 0.500 0.500
V 0.000 0.500 0.000
V 0.000 0.000 0.500
V 0.500 0.000 0.000

density of states at the Fermi level	8.54	states/eV per cell
calculated volume	73	Å³/cell

Stability, lowest: run P

Run P
A relaxed V2Bi2B crystal. Source: the Alexandria database, functional PBE-GGA.

a = 4.793 Å, b = 4.793 Å, c = 6.002 Å
α = 66.47°, β = 66.47°, γ = 90.00°
Fractional positions:
B 0.000 0.000 0.000
Bi 0.750 0.250 0.500
Bi 0.250 0.750 0.500
V 0.407 0.407 0.186
V 0.593 0.593 0.814

density of states at the Fermi level	3.93	states/eV per cell
calculated volume	114	Å³/cell

Run Q
A relaxed V2Bi2B crystal. Source: the Alexandria database, functional PBE-GGA.

a = 6.195 Å, b = 6.195 Å, c = 4.673 Å
α = 90.00°, β = 90.00°, γ = 90.00°
Fractional positions:
B 0.000 0.000 0.000
B 0.500 0.500 0.000
Bi 0.177 0.677 0.500
Bi 0.677 0.823 0.500
Bi 0.823 0.323 0.500
Bi 0.323 0.177 0.500
V 0.345 0.845 0.000
V 0.845 0.655 0.000
V 0.655 0.155 0.000
V 0.155 0.345 0.000

density of states at the Fermi level	10.54	states/eV per cell
calculated volume	179	Å³/cell

Stability, lowest: run P

Run P
A relaxed VBiB3 crystal. Source: the Alexandria database, functional PBE-GGA.

a = 4.627 Å, b = 4.627 Å, c = 4.627 Å
α = 90.00°, β = 90.00°, γ = 90.00°
Each line ends with the local moment (μB).
Fractional positions:
B 0.000 0.500 0.000  0.02
B 0.000 0.000 0.500  0.02
B 0.500 0.000 0.000  0.02
Bi 0.000 0.000 0.000  0.03
V 0.500 0.500 0.500  2.83

density of states at the Fermi level	9.19	states/eV per cell
calculated volume	99	Å³/cell

Run Q
A relaxed VBiB3 crystal. Source: the Alexandria database, functional PBE-GGA.

a = 4.131 Å, b = 4.131 Å, c = 4.131 Å
α = 90.00°, β = 90.00°, γ = 90.00°
Fractional positions:
B 0.000 0.500 0.000
B 0.000 0.000 0.500
B 0.500 0.000 0.000
Bi 0.500 0.500 0.500
V 0.000 0.000 0.000

density of states at the Fermi level	1.93	states/eV per cell
calculated volume	70	Å³/cell

Stability, lowest: run P